(1)
First-principles (PBEsol) data for crystalline BePtOF2 at its relaxed geometry, as listed in Alexandria via LeMat-Bulk.

Output
* energy above the most stable polymorph in this dataset: 0 meV/atom
* magnetic moment: 0.314 μB/f.u.
* uncorrected formation energy: -125.86 kJ per mole of atoms
* DOS at the Fermi energy: 3.21 states/eV/cell

a = 3.098 Å, b = 3.098 Å, c = 5.856 Å
α = 90.00°, β = 90.00°, γ = 90.00°
Fractional coordinates of all 5 atoms:
Be 0.000 0.000 0.000
Pt 0.500 0.500 0.500
O 0.000 0.000 0.500
F 0.000 0.500 0.000
F 0.500 0.000 0.000

(2)
First-principles (PBEsol) data for crystalline YHg2Au at its relaxed geometry, as listed in Alexandria via LeMat-Bulk.

Output
* formation energy from the elements: -0.517 eV/atom
* magnetic moment: 0.000 μB/f.u.
* DOS at the Fermi energy: 1.35 states/eV/cell

a = 4.926 Å, b = 4.926 Å, c = 4.926 Å
α = 121.10°, β = 121.10°, γ = 88.10°
Fractional coordinates of all 4 atoms:
Y 0.000 0.000 0.000
Hg 0.250 0.750 0.500
Hg 0.750 0.250 0.500
Au 0.500 0.500 0.000

(3)
First-principles (PBEsol) data for crystalline Sb2TeRuS at its relaxed geometry, as listed in Alexandria via LeMat-Bulk.

Output
* magnetic moment: 0.215 μB/f.u.
* uncorrected formation energy: 110.34 kJ per mole of atoms
* DOS at the Fermi energy: 4.03 states/eV/cell

a = 4.927 Å, b = 4.927 Å, c = 5.050 Å
α = 90.00°, β = 90.00°, γ = 90.00°
Fractional coordinates of all 5 atoms:
Sb 0.000 0.500 0.000
Sb 0.500 0.000 0.000
Te 0.000 0.000 0.500
Ru 0.500 0.500 0.500
S 0.000 0.000 0.000